An optimized crystal structure of Li2Si3NiO8, computed with GGA+U.

Geometry as extended XYZ:
```
56
Lattice="7.953 0.000 0.000 0.000 7.953 0.000 0.000 0.000 7.953" Properties=species:S:1:pos:R:3 pbc="T T T"
Li 0.062 0.062 0.062
Li 1.927 1.927 1.927
Li 2.050 6.026 5.903
Li 3.915 7.891 4.038
Li 4.038 3.915 7.891
Li 5.903 2.050 6.026
Li 6.026 5.903 2.050
Li 7.891 4.038 3.915
Si 0.912 1.076 4.970
Si 0.994 3.065 6.876
Si 1.076 4.970 0.912
Si 2.900 2.982 4.888
Si 2.982 4.888 2.900
Si 3.065 6.876 0.994
Si 4.888 2.900 2.982
Si 4.970 0.912 1.076
Si 5.053 6.959 7.041
Si 6.876 0.994 3.065
Si 6.959 7.041 5.053
Si 7.041 5.053 6.959
Ni 0.994 6.959 2.982
Ni 2.982 0.994 6.959
Ni 4.970 4.970 4.970
Ni 6.959 2.982 0.994
O 0.691 1.065 3.172
O 0.804 7.262 5.042
O 0.944 4.921 7.008
O 0.923 1.297 6.769
O 1.065 3.172 0.691
O 1.044 2.933 5.020
O 1.184 4.899 2.679
O 1.297 6.769 0.923
O 2.679 1.184 4.899
O 2.792 3.054 6.656
O 2.933 5.020 1.044
O 2.911 4.780 4.668
O 3.054 6.656 2.792
O 3.032 3.032 3.032
O 3.172 0.691 1.065
O 3.285 6.887 7.149
O 4.668 2.911 4.780
O 4.780 4.668 2.911
O 4.921 7.008 0.944
O 4.899 2.679 1.184
O 5.042 0.804 7.262
O 5.020 1.044 2.933
O 5.161 7.030 5.273
O 5.273 5.161 7.030
O 6.656 2.792 3.054
O 6.769 0.923 1.297
O 6.909 6.909 6.909
O 6.887 7.149 3.285
O 7.030 5.273 5.161
O 7.008 0.944 4.921
O 7.149 3.285 6.887
O 7.262 5.042 0.804
```

Offset from the most stable computed form ... 0.000 eV per atom